(1)
The following is a DFT calculation (GGA-PBE) of a geometry-optimized Ce2YTh3Te6 structure.

Unit cell a=4.3686 b=9.0764 c=10.0978 alpha=106.58 beta=102.49 gamma=90.00
Closest atoms and distances in Å follow each position.
Element x y z (fractional)
Ce: 0.8330 0.6671 0.6659  6 Te 3.13-3.16
Ce: 0.1670 0.3329 0.3341  6 Te 3.13-3.16
Y: 0.5000 0.0000 0.0000  6 Te 3.07-3.10
Th: 0.5000 0.5000 0.0000  6 Te 3.16-3.20
Th: 0.8317 0.1683 0.6634  6 Te 3.16-3.19
Th: 0.1683 0.8317 0.3366  6 Te 3.16-3.19
Te: 0.3374 0.9186 0.6748  1 Y 3.07, 2 Ce 3.14, 3 Th 3.17-3.19
Te: 0.6673 0.5795 0.3345  3 Ce 3.13, 3 Th 3.16
Te: 0.6626 0.0814 0.3252  1 Y 3.07, 2 Ce 3.14, 3 Th 3.17-3.19
Te: 0.9997 0.2415 0.9995  2 Y 3.10, 1 Ce 3.16, 3 Th 3.18-3.20
Te: 0.0003 0.7585 0.0005  2 Y 3.10, 1 Ce 3.16, 3 Th 3.18-3.20
Te: 0.3327 0.4205 0.6655  3 Ce 3.13, 3 Th 3.16

Properties
Raw formation energy   -1.178 eV/atom

(2)
The following is a DFT calculation (GGA-PBE) of a geometry-optimized Ba5As3SO12 structure.

Unit cell a=10.7987 b=10.7987 c=7.8443 alpha=90.00 beta=90.00 gamma=120.00
Closest atoms and distances in Å follow each position.
Element x y z (fractional)
Ba: 0.3333 0.6667 0.4986  9 O 2.79-3.09
Ba: 0.6667 0.3333 0.5014  9 O 2.79-3.09
Ba: 0.6667 0.3333 0.9986  9 O 2.79-3.09
Ba: 0.3333 0.6667 0.0014  9 O 2.79-3.09
Ba: 0.2554 0.2479 0.7500  5 O 2.65-2.90
Ba: 0.7446 0.7521 0.2500  5 O 2.65-2.90
Ba: 0.7521 0.0075 0.7500  5 O 2.65-2.90
Ba: 0.2479 0.9925 0.2500  5 O 2.65-2.90
Ba: 0.9925 0.7446 0.7500  5 O 2.65-2.90
Ba: 0.0075 0.2554 0.2500  5 O 2.65-2.90
As: 0.0344 0.4064 0.7500  4 O 1.73
As: 0.9656 0.5936 0.2500  4 O 1.73
As: 0.5936 0.6280 0.7500  4 O 1.73
As: 0.4064 0.3720 0.2500  4 O 1.73
As: 0.3720 0.9656 0.7500  4 O 1.73
As: 0.6280 0.0344 0.2500  4 O 1.73
S: 0.0000 0.0000 0.5000  6 Ba 3.35, 6 O 3.51
S: 0.0000 0.0000 0.0000  6 Ba 3.35, 6 O 3.51
O: 0.0942 0.3569 0.5729  1 As 1.73
O: 0.9058 0.6431 0.4271  1 As 1.73
O: 0.6431 0.7373 0.5729  1 As 1.73
O: 0.9058 0.6431 0.0729  1 As 1.73
O: 0.3569 0.2627 0.4271  1 As 1.73
O: 0.0942 0.3569 0.9271  1 As 1.73
O: 0.2627 0.9058 0.5729  1 As 1.73
O: 0.3569 0.2627 0.0729  1 As 1.73
O: 0.7373 0.0942 0.4271  1 As 1.73
O: 0.6431 0.7373 0.9271  1 As 1.73
O: 0.7373 0.0942 0.0729  1 As 1.73
O: 0.2627 0.9058 0.9271  1 As 1.73
O: 0.4816 0.1489 0.7500  1 As 1.73
O: 0.5184 0.8511 0.2500  1 As 1.73
O: 0.8511 0.3328 0.7500  1 As 1.73
O: 0.1489 0.6672 0.2500  1 As 1.73
O: 0.6672 0.5184 0.7500  1 As 1.73
O: 0.3328 0.4816 0.2500  1 As 1.73
O: 0.1228 0.5917 0.7500  1 As 1.73
O: 0.8772 0.4083 0.2500  1 As 1.73
O: 0.4083 0.5312 0.7500  1 As 1.73
O: 0.5917 0.4688 0.2500  1 As 1.73
O: 0.4688 0.8772 0.7500  1 As 1.73
O: 0.5312 0.1228 0.2500  1 As 1.73

Properties
Raw formation energy   -2.162 eV/atom

(3)
The following is a DFT calculation (GGA-PBE) of a geometry-optimized LiTiBi2As structure.

Unit cell a=5.1858 b=4.4244 c=5.1858 alpha=90.00 beta=90.00 gamma=90.00
Closest atoms and distances in Å follow each position.
Element x y z (fractional)
As: 0.0000 0.5000 0.0000  2 Li 2.21
Li: 0.0000 0.0000 0.0000  2 As 2.21
Bi: 0.0000 0.0000 0.5000  2 Li 2.59
Bi: 0.5000 0.0000 0.0000  2 Li 2.59
Ti: 0.5000 0.5000 0.5000  8 Bi 3.41, 4 As 3.67

Properties
Calculated formation energy   0.481 eV per atom

(4)
The following is a DFT calculation (GGA-PBE) of a geometry-optimized Rb2MnGa2 structure.

Unit cell a=3.8267 b=3.8267 c=12.5055 alpha=81.20 beta=81.20 gamma=90.00
Closest atoms and distances in Å follow each position.
Element x y z (fractional)
Mn: 0.0000 0.0000 0.0000  4 Mn 3.83, 8 Rb 3.88
Ga: 0.7500 0.2500 0.5000  4 Ga 2.71
Ga: 0.2500 0.7500 0.5000  4 Ga 2.71
Rb: 0.3862 0.3862 0.2276  4 Rb 3.83, 4 Ga 3.84, 4 Mn 3.88
Rb: 0.6138 0.6138 0.7724  4 Rb 3.83, 4 Ga 3.84, 4 Mn 3.88

Properties
Calculated formation energy   0.542 eV per atom

(5)
The following is a DFT calculation (GGA-PBE) of a geometry-optimized MnCoAs3 structure.

Unit cell a=4.5450 b=4.5450 c=4.5450 alpha=90.00 beta=90.00 gamma=90.00
Closest atoms and distances in Å follow each position.
Element x y z (fractional)
As: 0.0000 0.5000 0.0000  2 Mn 2.27
As: 0.0000 0.0000 0.5000  2 Mn 2.27
As: 0.5000 0.0000 0.0000  2 Mn 2.27
Mn: 0.0000 0.0000 0.0000  6 As 2.27
Co: 0.5000 0.5000 0.5000  12 As 3.21

Properties
Polymorph energy (0 for the lowest one)   0.0 meV per atom
Calculated formation energy   0.804 eV per atom

(6)
The following is a DFT calculation (GGA-PBE) of a geometry-optimized Ta3NbW3 structure.

Unit cell a=6.4625 b=6.4625 c=6.2860 alpha=90.00 beta=90.00 gamma=88.70
Closest atoms and distances in Å follow each position.
Element x y z (fractional)
Ta: 0.2532 0.2532 0.5000  6 W 2.75-2.82
Ta: 0.2485 0.7515 0.5000  6 W 2.74-2.79
Ta: 0.7515 0.2485 0.5000  6 W 2.74-2.79
Ta: 0.2469 0.7531 0.0000  6 W 2.73-2.80
Ta: 0.7531 0.2469 0.0000  6 W 2.73-2.80
Ta: 0.7468 0.7468 0.5000  6 W 2.75-2.82
Nb: 0.2629 0.2629 0.0000  6 W 2.76-2.89
Nb: 0.7371 0.7371 0.0000  6 W 2.76-2.89
W: 0.0000 0.0000 0.7505  6 Ta 2.73-2.82, 2 Nb 2.89
W: 0.5000 0.0000 0.2504  6 Ta 2.75-2.80, 2 Nb 2.76
W: 0.0000 0.5000 0.2504  6 Ta 2.75-2.80, 2 Nb 2.76
W: 0.5000 0.0000 0.7496  6 Ta 2.75-2.80, 2 Nb 2.76
W: 0.0000 0.5000 0.7496  6 Ta 2.75-2.80, 2 Nb 2.76
W: 0.0000 0.0000 0.2495  6 Ta 2.73-2.82, 2 Nb 2.89

Properties
Calculated formation energy   0.304 eV per atom

(7)
The following is a DFT calculation (GGA-PBE) of a geometry-optimized Ir4O structure.

Unit cell a=4.1161 b=4.1161 c=4.1161 alpha=90.00 beta=90.00 gamma=90.00
Closest atoms and distances in Å follow each position.
Element x y z (fractional)
Ir: 0.0000 0.0000 0.0000  12 Ir 2.91
Ir: 0.5000 0.0000 0.5000  2 O 2.06
Ir: 0.0000 0.5000 0.5000  2 O 2.06
Ir: 0.5000 0.5000 0.0000  2 O 2.06
O: 0.5000 0.5000 0.5000  6 Ir 2.06

Properties
Raw formation energy   0.938 eV/atom

(8)
The following is a DFT calculation (GGA-PBE) of a geometry-optimized RbRu3C structure.

Unit cell a=4.8092 b=4.8092 c=4.8092 alpha=90.00 beta=90.00 gamma=90.00
Closest atoms and distances in Å follow each position.
Element x y z (fractional)
Ru: 0.0000 0.5000 0.0000  2 Rb 2.40
Ru: 0.0000 0.0000 0.5000  2 Rb 2.40
Ru: 0.5000 0.0000 0.0000  2 Rb 2.40
C: 0.5000 0.5000 0.5000  12 Ru 3.40
Rb: 0.0000 0.0000 0.0000  6 Ru 2.40

Properties
Polymorph energy (0 for the lowest one)   3117.5 meV per atom
Calculated formation energy   4.303 eV per atom

(9)
The following is a DFT calculation (GGA-PBE) of a geometry-optimized Mg3SeF structure.

Unit cell a=4.6241 b=4.6241 c=4.6241 alpha=90.00 beta=90.00 gamma=90.00
Closest atoms and distances in Å follow each position.
Element x y z (fractional)
Mg: 0.0000 0.5000 0.0000  2 F 2.31
Mg: 0.0000 0.0000 0.5000  2 F 2.31
Mg: 0.5000 0.0000 0.0000  2 F 2.31
Se: 0.5000 0.5000 0.5000  12 Mg 3.27
F: 0.0000 0.0000 0.0000  6 Mg 2.31

Properties
Polymorph energy (0 for the lowest one)   0.0 meV per atom
Raw formation energy   -0.841 eV/atom

(10)
The following is a DFT calculation (GGA-PBE) of a geometry-optimized LuNpPtRh structure.

Unit cell a=4.8472 b=4.8472 c=4.8472 alpha=60.00 beta=60.00 gamma=60.00
Closest atoms and distances in Å follow each position.
Element x y z (fractional)
Np: 0.0000 0.0000 0.0000  4 Rh 2.97, 4 Pt 2.97
Lu: 0.5000 0.5000 0.5000  4 Pt 2.97, 4 Rh 2.97
Rh: 0.2500 0.2500 0.2500  4 Lu 2.97, 4 Np 2.97
Pt: 0.7500 0.7500 0.7500  4 Lu 2.97, 4 Np 2.97

Properties
Calculated formation energy   -0.671 eV per atom

(11)
The following is a DFT calculation (GGA-PBE) of a geometry-optimized P2W2Cl structure.

Unit cell a=4.1124 b=4.1124 c=5.8643 alpha=69.47 beta=69.47 gamma=90.00
Closest atoms and distances in Å follow each position.
Element x y z (fractional)
P: 0.3829 0.3829 0.2342  1 P 2.39, 4 W 2.46
P: 0.6171 0.6171 0.7658  1 P 2.39, 4 W 2.46
W: 0.7500 0.2500 0.5000  4 P 2.46
W: 0.2500 0.7500 0.5000  4 P 2.46
Cl: 0.0000 0.0000 0.0000  8 P 3.14, 8 W 3.27

Properties
Polymorph energy (0 for the lowest one)   0.0 meV per atom
Raw formation energy   0.222 eV/atom

(12)
The following is a DFT calculation (GGA-PBE) of a geometry-optimized NbCrOs3 structure.

Unit cell a=4.4181 b=4.4181 c=4.4181 alpha=90.00 beta=90.00 gamma=90.00
Closest atoms and distances in Å follow each position.
Element x y z (fractional)
Cr: 0.0000 0.0000 0.0000  6 Os 2.21
Nb: 0.5000 0.5000 0.5000  12 Os 3.12
Os: 0.0000 0.5000 0.0000  2 Cr 2.21
Os: 0.0000 0.0000 0.5000  2 Cr 2.21
Os: 0.5000 0.0000 0.0000  2 Cr 2.21

Properties
Polymorph energy (0 for the lowest one)   0.0 meV per atom
Calculated formation energy   1.383 eV per atom

(13)
The following is a DFT calculation (GGA-PBE) of a geometry-optimized DyHo5Al3 structure.

Unit cell a=6.6096 b=9.0405 c=9.0402 alpha=120.00 beta=90.00 gamma=90.00
Closest atoms and distances in Å follow each position.
Element x y z (fractional)
Dy: 0.0000 0.0000 0.0000  2 Dy 3.30, 6 Ho 3.44, 6 Al 3.44
Dy: 0.5000 0.0000 0.0000  2 Dy 3.30, 6 Ho 3.44, 6 Al 3.44
Ho: 0.0000 0.6667 0.3333  8 Ho 3.30-3.44, 6 Al 3.43
Ho: 0.5000 0.3333 0.6667  8 Ho 3.30-3.44, 6 Al 3.43
Ho: 0.0000 0.3333 0.6667  8 Ho 3.30-3.44, 6 Al 3.43
Ho: 0.5000 0.6667 0.3333  8 Ho 3.30-3.44, 6 Al 3.43
Ho: 0.7500 0.6666 0.6666  5 Al 3.01-3.30
Ho: 0.7500 0.0000 0.3334  5 Al 3.01-3.30
Ho: 0.7500 0.3334 0.0000  5 Al 3.01-3.30
Ho: 0.2500 0.3334 0.3334  5 Al 3.01-3.30
Ho: 0.2500 0.0000 0.6666  5 Al 3.01-3.30
Ho: 0.2500 0.6666 0.0000  5 Al 3.01-3.30
Al: 0.7500 0.3338 0.3338  5 Ho 3.01-3.30
Al: 0.7500 0.0000 0.6662  5 Ho 3.01-3.30
Al: 0.7500 0.6661 0.0000  5 Ho 3.01-3.30
Al: 0.2500 0.6662 0.6662  5 Ho 3.01-3.30
Al: 0.2500 0.0000 0.3338  5 Ho 3.01-3.30
Al: 0.2500 0.3339 0.0000  5 Ho 3.01-3.30

Properties
Calculated formation energy   -0.273 eV per atom

(14)
The following is a DFT calculation (GGA-PBE) of a geometry-optimized Na3Cd4Pd2 structure.

Unit cell a=4.7709 b=5.9177 c=8.2859 alpha=104.92 beta=90.00 gamma=113.77
Closest atoms and distances in Å follow each position.
Element x y z (fractional)
Na: 0.4747 0.9494 0.6919  1 Pd 2.95, 4 Cd 3.21-3.26
Na: 0.0000 0.0000 0.0000  2 Pd 2.93, 2 Cd 3.28
Na: 0.5253 0.0506 0.3081  1 Pd 2.95, 4 Cd 3.21-3.26
Cd: 0.7192 0.4385 0.0767  3 Pd 2.81-2.94, 3 Cd 2.87-2.97
Cd: 0.1612 0.3223 0.5535  3 Pd 2.81-2.86, 1 Cd 2.97
Cd: 0.8388 0.6777 0.4465  3 Pd 2.81-2.86, 1 Cd 2.97
Cd: 0.2808 0.5615 0.9233  3 Pd 2.81-2.94, 3 Cd 2.87-2.97
Pd: 0.2457 0.4914 0.2630  6 Cd 2.81-2.94, 2 Na 2.93-2.95
Pd: 0.7543 0.5086 0.7370  6 Cd 2.81-2.94, 2 Na 2.93-2.95

Properties
Polymorph energy (0 for the lowest one)   0.0 meV per atom
Calculated formation energy   -0.229 eV per atom

(15)
The following is a DFT calculation (GGA-PBE) of a geometry-optimized SiNiCl2 structure.

Unit cell a=4.5498 b=4.5498 c=4.5498 alpha=60.00 beta=60.00 gamma=60.00
Closest atoms and distances in Å follow each position.
Element x y z (fractional)
Ni: 0.5000 0.5000 0.5000  8 Cl 2.79
Si: 0.0000 0.0000 0.0000  8 Cl 2.79
Cl: 0.2500 0.2500 0.2500  4 Ni 2.79, 4 Si 2.79
Cl: 0.7500 0.7500 0.7500  4 Ni 2.79, 4 Si 2.79

Properties
Polymorph energy (0 for the lowest one)   889.2 meV per atom
Raw formation energy   0.435 eV/atom

(16)
The following is a DFT calculation (GGA-PBE) of a geometry-optimized Sc2Cr2H structure.

Unit cell a=3.2388 b=3.2388 c=7.8193 alpha=78.05 beta=78.05 gamma=90.00
Closest atoms and distances in Å follow each position.
Element x y z (fractional)
Sc: 0.3998 0.3998 0.2004  4 H 2.74, 4 Cr 2.76, 1 Sc 3.00
Sc: 0.6002 0.6002 0.7996  4 H 2.74, 4 Cr 2.76, 1 Sc 3.00
Cr: 0.7500 0.2500 0.5000  4 Cr 2.29
Cr: 0.2500 0.7500 0.5000  4 Cr 2.29
H: 0.0000 0.0000 0.0000  8 Sc 2.74

Properties
Polymorph energy (0 for the lowest one)   0.0 meV per atom

(17)
The following is a DFT calculation (GGA-PBE) of a geometry-optimized LaMgN2F structure.

Unit cell a=4.4812 b=4.4812 c=4.5493 alpha=90.00 beta=90.00 gamma=90.00
Closest atoms and distances in Å follow each position.
Element x y z (fractional)
N: 0.0000 0.5000 0.0000  2 La 2.24
N: 0.5000 0.0000 0.0000  2 La 2.24
Mg: 0.5000 0.5000 0.5000  4 F 3.17, 8 N 3.19
F: 0.0000 0.0000 0.5000  2 La 2.27
La: 0.0000 0.0000 0.0000  4 N 2.24, 2 F 2.27

Properties
Polymorph energy (0 for the lowest one)   784.2 meV per atom
Raw formation energy   -0.364 eV/atom

(18)
The following is a DFT calculation (GGA-PBE) of a geometry-optimized Li2TmZnSn2 structure.

Unit cell a=4.5351 b=7.0857 c=8.2122 alpha=90.00 beta=90.00 gamma=90.00
Closest atoms and distances in Å follow each position.
Element x y z (fractional)
Li: 0.5000 0.0188 0.0644  5 Sn 2.98-3.31, 1 Zn 3.22, 4 Li 3.24-3.25
Li: 0.0000 0.3276 0.1635  4 Sn 2.70-2.93
Li: 0.5000 0.5188 0.9356  5 Sn 2.98-3.31, 1 Zn 3.22, 4 Li 3.24-3.25
Li: 0.0000 0.8276 0.8365  4 Sn 2.70-2.93
Tm: 0.0000 0.0022 0.4650  4 Zn 3.11-3.43, 5 Sn 3.13-3.16, 2 Li 3.29-3.38
Tm: 0.0000 0.5022 0.5350  4 Zn 3.11-3.43, 5 Sn 3.13-3.16, 2 Li 3.29-3.38
Zn: 0.5000 0.1777 0.6757  4 Sn 2.69-2.84
Zn: 0.5000 0.6777 0.3243  4 Sn 2.69-2.84
Sn: 0.0000 0.2413 0.8430  2 Zn 2.69, 2 Li 2.70-2.93
Sn: 0.5000 0.2780 0.3497  3 Li 2.76-2.98, 2 Zn 2.77-2.84
Sn: 0.0000 0.7413 0.1570  2 Zn 2.69, 2 Li 2.70-2.93
Sn: 0.5000 0.7780 0.6503  3 Li 2.76-2.98, 2 Zn 2.77-2.84

Properties
Calculated formation energy   -0.411 eV per atom

(19)
The following is a DFT calculation (GGA-PBE) of a geometry-optimized Na3MnS3 structure.

Unit cell a=7.1889 b=7.1889 c=6.8855 alpha=95.41 beta=95.41 gamma=114.66
Closest atoms and distances in Å follow each position.
Element x y z (fractional)
Na: 0.6038 0.6038 0.3537  3 S 2.68-2.91, 1 Na 2.79
Na: 0.1766 0.8234 0.5000  6 S 2.82-3.12
Na: 0.8234 0.1766 0.5000  6 S 2.82-3.12
Na: 0.2420 0.7580 0.0000  4 S 2.87-3.00
Na: 0.7580 0.2420 0.0000  4 S 2.87-3.00
Na: 0.3962 0.3962 0.6463  3 S 2.68-2.91, 1 Na 2.79
Mn: 0.8179 0.8179 0.8574  4 S 2.24-2.31
Mn: 0.1821 0.1821 0.1426  4 S 2.24-2.31
S: 0.8961 0.8961 0.1970  2 Mn 2.31
S: 0.8411 0.5332 0.7259  1 Mn 2.24
S: 0.5332 0.8411 0.7259  1 Mn 2.24
S: 0.1589 0.4668 0.2741  1 Mn 2.24
S: 0.4668 0.1589 0.2741  1 Mn 2.24
S: 0.1039 0.1039 0.8030  2 Mn 2.31

Properties
Raw formation energy   -0.893 eV/atom

(20)
The following is a DFT calculation (GGA-PBE) of a geometry-optimized La3AuO structure.

Unit cell a=25.7380 b=6.5376 c=9.9953 alpha=90.00 beta=162.35 gamma=90.00
Closest atoms and distances in Å follow each position.
Element x y z (fractional)
Au: 0.0077 0.1633 0.4216  1 Au 2.89, 3 La 3.14-3.18
Au: 0.9923 0.8367 0.5784  1 Au 2.89, 3 La 3.14-3.18
Au: 0.4923 0.6633 0.0784  1 Au 2.89, 3 La 3.14-3.18
Au: 0.5077 0.3367 0.9216  1 Au 2.89, 3 La 3.14-3.18
O: 0.5327 0.7538 0.6786  6 La 2.48-2.68
O: 0.4673 0.2462 0.3214  6 La 2.48-2.68
O: 0.9673 0.2538 0.8214  6 La 2.48-2.68
O: 0.0327 0.7462 0.1786  6 La 2.48-2.68
La: 0.2906 0.9058 0.9357  3 O 2.58-2.66
La: 0.7094 0.0942 0.0643  3 O 2.58-2.66
La: 0.2094 0.4058 0.5643  3 O 2.58-2.66
La: 0.7906 0.5942 0.4357  3 O 2.58-2.66
La: 0.3584 0.4007 0.2662  2 O 2.50-2.68
La: 0.6416 0.5993 0.7338  2 O 2.50-2.68
La: 0.1416 0.9007 0.2338  2 O 2.50-2.68
La: 0.8584 0.0993 0.7662  2 O 2.50-2.68
La: 0.4057 0.8879 0.5766  1 O 2.48
La: 0.5943 0.1121 0.4234  1 O 2.48
La: 0.0943 0.3879 0.9234  1 O 2.48
La: 0.9057 0.6121 0.0766  1 O 2.48

Properties
Polymorph energy (0 for the lowest one)   119.3 meV per atom
Raw formation energy   -1.341 eV/atom

These records have E values of -6.132 -6.314 -3.963 -2.890 -5.241 -11.765 -7.143 -3.301 -2.869 -8.385 -7.493 -9.294 -4.575 -2.230 -3.289 -6.618 -5.373 -3.340 -4.537 -5.945 eV/atom, in the order they appear.